Entry from OQMD: crystalline HfBeTlCo at its relaxed geometry (PBE-GGA).

The value obtained for the density is 12260 kg/m³. For the calculated total energy, the calculation gives -0.4158 Ry per atom. For the size of the total moment, the calculation gives 0.00 μB/cell.

The structure belongs to space group F-43m (No. 216); the cell edges are 6.251, 6.251 and 6.251 Å and the angles 90.00°, 90.00° and 90.00°. The distinct sites, in fractional coordinates, are Hf at (0.000, 0.000, 0.000), Be at (0.250, 0.250, 0.250), Tl at (0.000, 0.000, 0.500) and Co at (0.250, 0.250, 0.750).